# 1
A geometry-optimized SrScBeAu structure, computed with GGA-PBE.

a = 4.803 Å, b = 4.803 Å, c = 4.803 Å
α = 60.00°, β = 60.00°, γ = 60.00°
Positions (direct):
Au: 0.750 0.750 0.750
Be: 0.500 0.500 0.500
Sc: 0.000 0.000 0.000
Sr: 0.250 0.250 0.250

Size of the total moment (Bohr magnetons per cell): 0.0
E_tot (eV for the cell shown): -14.9
Density (kg/m³): 7175
Calculated volume (Å³ per cell): 78

***

# 2
A geometry-optimized LiTlFeW structure, computed with GGA-PBE.

a = 4.480 Å, b = 4.480 Å, c = 4.480 Å
α = 60.00°, β = 60.00°, γ = 60.00°
Positions (direct):
Fe: 0.000 0.000 0.000
Li: 0.750 0.750 0.750
Tl: 0.500 0.500 0.500
W: 0.250 0.250 0.250

Size of the total moment (Bohr magnetons per cell): 1.2
E_tot (eV for the cell shown): -23.0
Density (kg/m³): 11781
Calculated volume (Å³ per cell): 64